# 1
DFT (PBE) results for a geometry-optimized NaCa3Bi2 structure.

Unit cell a=6.7645 b=17.1757 c=6.7738 alpha=90.00 beta=90.00 gamma=90.00
Closest atoms and distances in Å follow each position.
Space group Ibam (No. 72)
Inequivalent atoms, fractional coordinates:
Na 0.0000 0.0000 0.2500  4 Bi 3.34, 2 Ca 3.38, 2 Na 3.39
Ca 0.0000 0.5000 0.2500  4 Bi 3.27, 2 Na 3.38, 2 Ca 3.39
Ca 0.2366 0.1779 0.0000  5 Bi 3.25-3.49
Bi 0.2400 0.3672 0.0000  7 Ca 3.25-3.49, 2 Na 3.34

E_form: -0.64 eV per atom


# 2
DFT (PBE) results for a geometry-optimized Na3CaBi structure.

Unit cell a=5.9682 b=5.9682 c=5.9682 alpha=90.00 beta=90.00 gamma=90.00
Closest atoms and distances in Å follow each position.
Space group Pm-3m (No. 221)
Inequivalent atoms, fractional coordinates:
Na 0.0000 0.0000 0.5000  2 Ca 2.98
Ca 0.0000 0.0000 0.0000  6 Na 2.98
Bi 0.5000 0.5000 0.5000  12 Na 4.22

Polymorph energy (0 for the lowest one): 3.06 eV per formula unit
E_form: 0.62 eV per atom


# 3
DFT (PBE) results for a geometry-optimized NaCaBi3 structure.

Unit cell a=5.5633 b=5.5633 c=5.5633 alpha=90.00 beta=90.00 gamma=90.00
Closest atoms and distances in Å follow each position.
Space group Pm-3m (No. 221)
Inequivalent atoms, fractional coordinates:
Na 0.0000 0.0000 0.0000  6 Bi 2.78
Ca 0.5000 0.5000 0.5000  12 Bi 3.93
Bi 0.0000 0.0000 0.5000  2 Na 2.78

Polymorph energy (0 for the lowest one): 0.00 eV per formula unit
E_form: 0.14 eV per atom


# 4
DFT (PBE) results for a geometry-optimized NaCa5Bi6 structure.

Unit cell a=5.9440 b=7.0626 c=9.0671 alpha=90.00 beta=102.52 gamma=90.00
Closest atoms and distances in Å follow each position.
Space group P2/m (No. 10)
Inequivalent atoms, fractional coordinates:
Na 0.0000 0.0000 0.0000  8 Bi 3.47-3.49, 2 Ca 3.53
Ca 0.0000 0.5000 0.0000  8 Bi 3.44-3.48, 2 Na 3.53
Ca 0.3346 0.0000 0.6740  8 Bi 3.41-3.48, 2 Ca 3.53
Ca 0.3389 0.5000 0.6711  8 Bi 3.41-3.46, 2 Ca 3.53
Bi 0.1656 0.2513 0.3374  7 Ca 3.44-3.48, 1 Na 3.49, 2 Bi 3.51-3.55
Bi 0.5000 0.2534 0.0000  6 Ca 3.41-3.44, 2 Na 3.47, 2 Bi 3.48-3.58

E_form: -0.66 eV per atom


# 5
DFT (PBE) results for a geometry-optimized NaCa3Bi3 structure.

Unit cell a=10.7565 b=11.4161 c=7.9716 alpha=90.00 beta=90.00 gamma=90.00
Closest atoms and distances in Å follow each position.
Space group Cmmm (No. 65)
Inequivalent atoms, fractional coordinates:
Na 0.2442 0.0000 0.0000  6 Bi 3.42-3.49, 2 Ca 3.77
Ca 0.0000 0.2630 0.5000  6 Bi 3.34
Ca 0.0000 0.2742 0.0000  6 Bi 3.28-3.37
Ca 0.2444 0.0000 0.5000  6 Bi 3.37-3.47
Bi 0.0000 0.5000 0.2545  6 Ca 3.28-3.37, 2 Na 3.42
Bi 0.2500 0.2500 0.2517  6 Ca 3.34-3.47, 2 Na 3.49

E_form: -0.54 eV per atom


# 6
DFT (PBE) results for a geometry-optimized NaCaBi2 structure.

Unit cell a=5.0805 b=5.0805 c=4.6336 alpha=90.00 beta=90.00 gamma=90.00
Closest atoms and distances in Å follow each position.
Space group P4/mmm (No. 123)
Inequivalent atoms, fractional coordinates:
Na 0.0000 0.0000 0.0000  8 Bi 3.44, 4 Ca 3.59
Ca 0.5000 0.5000 0.0000  8 Bi 3.44, 4 Na 3.59
Bi 0.0000 0.5000 0.5000  4 Ca 3.44, 4 Na 3.44, 4 Bi 3.59

Polymorph energy (0 for the lowest one): 0.00 eV per formula unit
E_form: -0.54 eV per atom


# 7
DFT (PBE) results for a geometry-optimized NaCaBi structure.

Unit cell a=8.7041 b=7.5927 c=7.5933 alpha=90.00 beta=115.55 gamma=90.00
Closest atoms and distances in Å follow each position.
Space group P2_1/c (No. 14)
Inequivalent atoms, fractional coordinates:
Na 0.9999 0.2476 0.2476  4 Bi 3.41-3.43, 4 Na 3.80
Ca 0.4999 0.2499 0.0001  4 Bi 3.24
Bi 0.2694 0.0000 0.6358  4 Ca 3.24, 4 Na 3.41-3.43

E_form: -0.58 eV per atom


# 8
DFT (PBE) results for a geometry-optimized Na4CaBi5 structure.

Unit cell a=3.5009 b=3.5009 c=24.1817 alpha=90.00 beta=90.00 gamma=90.00
Closest atoms and distances in Å follow each position.
Space group P4/mmm (No. 123)
Inequivalent atoms, fractional coordinates:
Na 0.0000 0.0000 0.1004  8 Bi 3.47, 4 Na 3.50
Na 0.0000 0.0000 0.2996  8 Bi 3.44-3.51, 4 Na 3.50
Ca 0.0000 0.0000 0.5000  8 Bi 3.42, 4 Ca 3.50
Bi 0.5000 0.5000 0.0000  8 Na 3.47, 4 Bi 3.50
Bi 0.5000 0.5000 0.2011  8 Na 3.44-3.47, 4 Bi 3.50
Bi 0.5000 0.5000 0.4023  4 Ca 3.42, 4 Bi 3.50, 4 Na 3.51

E_form: -0.39 eV per atom


# 9
DFT (PBE) results for a geometry-optimized Na2Ca2Bi structure.

Unit cell a=8.2948 b=8.2948 c=5.9254 alpha=90.00 beta=90.00 gamma=90.00
Closest atoms and distances in Å follow each position.
Space group P4/mbm (No. 127)
Inequivalent atoms, fractional coordinates:
Na 0.1515 0.3485 0.0000  1 Na 3.55, 6 Ca 3.69-3.93
Ca 0.1606 0.6606 0.5000  2 Bi 3.11
Bi 0.0000 0.0000 0.5000  4 Ca 3.11

Polymorph energy (0 for the lowest one): 0.12 eV per formula unit
E_form: -0.16 eV per atom


# 10
DFT (PBE) results for a geometry-optimized NaCaBi structure.

Unit cell a=5.5743 b=5.5743 c=6.8127 alpha=90.00 beta=90.00 gamma=120.00
Closest atoms and distances in Å follow each position.
Space group P6_3/mmc (No. 194)
Inequivalent atoms, fractional coordinates:
Na 0.0000 0.0000 0.0000  2 Na 3.41, 6 Bi 3.64, 6 Ca 3.64
Ca 0.3333 0.6667 0.2500  5 Bi 3.22-3.41
Bi 0.3333 0.6667 0.7500  5 Ca 3.22-3.41

E_form: -0.66 eV per atom


# 11
DFT (PBE) results for a geometry-optimized Na2Ca2Bi structure.

Unit cell a=8.0125 b=8.0125 c=5.2469 alpha=90.00 beta=90.00 gamma=90.00
Closest atoms and distances in Å follow each position.
Space group P4/mbm (No. 127)
Inequivalent atoms, fractional coordinates:
Na 0.1297 0.3703 0.0000  1 Na 2.94, 2 Bi 3.14
Ca 0.1857 0.6857 0.5000  6 Na 3.36-3.67
Bi 0.0000 0.0000 0.0000  4 Na 3.14

Polymorph energy (0 for the lowest one): 0.12 eV per formula unit
E_form: -0.16 eV per atom


# 12
DFT (PBE) results for a geometry-optimized Na3CaBi structure.

Unit cell a=6.0207 b=6.0207 c=6.0207 alpha=90.00 beta=90.00 gamma=90.00
Closest atoms and distances in Å follow each position.
Space group Pm-3m (No. 221)
Inequivalent atoms, fractional coordinates:
Na 0.0000 0.0000 0.5000  2 Bi 3.01
Ca 0.5000 0.5000 0.5000  12 Na 4.26
Bi 0.0000 0.0000 0.0000  6 Na 3.01

Polymorph energy (0 for the lowest one): 0.00 eV per formula unit
E_form: 0.00 eV per atom


# 13
DFT (PBE) results for a geometry-optimized NaCa2Nb8Bi9O36 structure.

Unit cell a=5.5422 b=25.3263 c=5.6353 alpha=90.00 beta=90.24 gamma=90.00
Closest atoms and distances in Å follow each position.
Space group Pm (No. 6)
Inequivalent atoms, fractional coordinates:
Na 0.0000 0.0000 0.0000  6 O 2.43-2.59
Ca 0.4925 0.5000 0.9930  8 O 2.37-2.60
Ca 0.9768 0.5000 0.4936  8 O 2.37-2.60
Nb 0.4784 0.4193 0.5229  4 O 1.90-2.12
Nb 0.4953 0.0833 0.0191  3 O 1.89-1.93
Nb 0.9887 0.0825 0.5265  3 O 1.89-1.96
Nb 0.9921 0.4192 0.0232  4 O 1.90-2.12
Bi 0.0121 0.2013 0.9379  3 O 2.21-2.33
Bi 0.4521 0.2007 0.4368  4 O 2.21-2.45
Bi 0.4977 0.0000 0.4752  4 O 2.25-2.50
Bi 0.5142 0.3017 0.9359  4 O 2.21-2.45
Bi 0.9533 0.3014 0.4367  4 O 2.21-2.46
O 0.0655 0.1553 0.5440  1 Nb 1.89
O 0.0709 0.5000 0.0832  2 Nb 2.12, 1 Ca 2.37
O 0.1795 0.4127 0.3549  2 Nb 1.91-2.14
O 0.2013 0.0619 0.2755  1 Nb 1.92
O 0.2195 0.2520 0.2176  3 Bi 2.21-2.33
O 0.2474 0.2518 0.7177  3 Bi 2.21-2.34
O 0.2770 0.0638 0.7660  2 Nb 1.93-2.14
O 0.2882 0.4126 0.8546  1 Nb 1.91
O 0.3971 0.5000 0.5833  2 Nb 2.12, 1 Ca 2.37
O 0.4010 0.1547 0.0584  1 Nb 1.90
O 0.5644 0.0000 0.0810  2 Nb 2.17, 1 Bi 2.25
O 0.5693 0.3471 0.5553  1 Nb 1.90
O 0.6826 0.0856 0.3524  2 Nb 1.96-2.14
O 0.6906 0.4402 0.2698  1 Nb 1.93
O 0.7203 0.2498 0.2174  3 Bi 2.21-2.35
O 0.7477 0.2504 0.7187  3 Bi 2.21-2.35
O 0.7768 0.4403 0.7698  1 Nb 1.93
O 0.7829 0.0914 0.8454  1 Nb 1.89
O 0.8982 0.3472 0.0549  1 Nb 1.90
O 0.8999 0.0000 0.5790  2 Nb 2.17, 1 Bi 2.30

Formation energy (no corrections): -2.12 eV/atom


# 14
DFT (PBE) results for a geometry-optimized NaCaBiO3 structure.

Unit cell a=4.8965 b=3.7724 c=11.0358 alpha=90.00 beta=90.70 gamma=90.00
Closest atoms and distances in Å follow each position.
Space group P2_1/m (No. 11)
Inequivalent atoms, fractional coordinates:
Na 0.2465 0.2500 0.0915  4 O 2.43-2.47
Ca 0.2480 0.7500 0.4380  5 O 2.27-2.45
Bi 0.2431 0.2500 0.7817  3 O 2.15-2.29
O 0.1955 0.7500 0.2332  1 Bi 2.15, 1 Ca 2.27
O 0.2494 0.7500 0.8990  2 Bi 2.29, 2 Na 2.43-2.47
O 0.2518 0.2500 0.5562  4 Ca 2.29-2.45, 1 Bi 2.49

Formation energy (no corrections): -1.82 eV/atom


# 15
DFT (PBE) results for a geometry-optimized NaCaBi2O4 structure.

Unit cell a=7.5589 b=9.6413 c=7.0014 alpha=90.00 beta=90.00 gamma=90.00
Closest atoms and distances in Å follow each position.
Space group Fmm2 (No. 42)
Inequivalent atoms, fractional coordinates:
Na 0.0000 0.0000 0.0000  6 O 2.52-2.61
Ca 0.0000 0.0000 0.5001  6 O 2.34-2.58
Bi 0.2500 0.2500 0.2605  4 O 2.34-2.41
O 0.0000 0.2410 0.4565  2 Bi 2.34, 1 Ca 2.34, 1 Na 2.52
O 0.2479 0.0000 0.7543  2 Bi 2.41, 2 Na 2.54-2.61, 2 Ca 2.57-2.58

Formation energy (no corrections): -1.54 eV/atom


# 16
DFT (PBE) results for a geometry-optimized NaCa2BiO structure.

Unit cell a=4.8440 b=4.8440 c=4.7757 alpha=90.00 beta=90.00 gamma=90.00
Closest atoms and distances in Å follow each position.
Space group P4/mmm (No. 123)
Inequivalent atoms, fractional coordinates:
Na 0.0000 0.0000 0.0000  2 O 2.39
Ca 0.0000 0.5000 0.5000  2 O 2.42
Bi 0.5000 0.5000 0.0000  8 Ca 3.40, 4 Na 3.43
O 0.0000 0.0000 0.5000  2 Na 2.39, 4 Ca 2.42

Formation energy (no corrections): -1.54 eV/atom


# 17
DFT (PBE) results for a geometry-optimized Na2Ca3BiO6 structure.

Unit cell a=5.9680 b=10.2933 c=5.8630 alpha=90.00 beta=109.95 gamma=90.00
Closest atoms and distances in Å follow each position.
Space group C2/m (No. 12)
Inequivalent atoms, fractional coordinates:
Na 0.0000 0.1659 0.0000  6 O 2.48-2.50
Ca 0.0000 0.0000 0.5000  6 O 2.34-2.53
Ca 0.0000 0.3296 0.5000  6 O 2.35-2.46
Bi 0.0000 0.5000 0.0000  6 O 2.31-2.34
O 0.2253 0.5000 0.7474  1 Bi 2.31, 3 Ca 2.38-2.53, 2 Na 2.48
O 0.2423 0.3436 0.2584  3 Ca 2.34-2.46, 1 Bi 2.34, 2 Na 2.50

Formation energy (no corrections): -2.14 eV/atom


# 18
DFT (PBE) results for a geometry-optimized NaCa2BiO4 structure.

Unit cell a=6.9694 b=6.9757 c=9.6051 alpha=90.00 beta=90.00 gamma=90.00
Closest atoms and distances in Å follow each position.
Space group Imma (No. 74)
Inequivalent atoms, fractional coordinates:
Na 0.0000 0.0000 0.0000  6 O 2.43-2.55
Ca 0.0000 0.0000 0.5000  6 O 2.37-2.39
Ca 0.2500 0.2500 0.2500  6 O 2.41-2.45
Bi 0.2500 0.2500 0.7500  6 O 2.40-2.48
O 0.0000 0.0032 0.2533  3 Ca 2.37-2.45, 1 Na 2.43, 2 Bi 2.48
O 0.2335 0.2500 0.5007  3 Ca 2.39-2.41, 1 Bi 2.40, 2 Na 2.55

Formation energy (no corrections): -2.13 eV/atom


# 19
DFT (PBE) results for a geometry-optimized NaCaTiBiO6 structure.

Unit cell a=8.0741 b=8.0741 c=8.0741 alpha=90.00 beta=90.00 gamma=90.00
Closest atoms and distances in Å follow each position.
Space group F-43m (No. 216)
Inequivalent atoms, fractional coordinates:
Na 0.0000 0.0000 0.0000  12 O 2.86
Ca 0.0000 0.0000 0.5000  12 O 2.86
Ti 0.2500 0.2500 0.2500  6 O 1.95
Bi 0.2500 0.2500 0.7500  6 O 2.09
O 0.0085 0.2500 0.2500  1 Ti 1.95, 1 Bi 2.09

Formation energy (no corrections): -1.98 eV/atom


# 20
DFT (PBE) results for a geometry-optimized NaCaZrBiO6 structure.

Unit cell a=8.3394 b=8.3394 c=8.3394 alpha=90.00 beta=90.00 gamma=90.00
Closest atoms and distances in Å follow each position.
Space group F-43m (No. 216)
Inequivalent atoms, fractional coordinates:
Na 0.0000 0.0000 0.0000  12 O 2.95
Ca 0.0000 0.0000 0.5000  12 O 2.95
Zr 0.2500 0.2500 0.7500  6 O 2.08
Bi 0.2500 0.2500 0.2500  6 O 2.09
O 0.0008 0.2500 0.7500  1 Zr 2.08, 1 Bi 2.09

Formation energy (no corrections): -2.06 eV/atom


Calculated V, 787 213 172 372 979 120 453 296 408 183 337 218 791 204 510 112 339 467 526 580 Å³ per cell (same order as the records).
Calculated theoretical density, 4.74 2.48 6.65 6.60 5.23 6.68 3.99 6.59 2.73 4.93 3.30 2.42 6.93 5.21 7.09 4.86 4.62 5.35 5.25 5.26 g/cm3 (same order as the records).